TaV2Rh after structural relaxation. Source: Alexandria, functional PBE-GGA.

abc: 4.347 4.347 3.114
angles: 90.00 90.00 90.00
Space group P4/mmm (No. 123)
One atom of each set of equivalent atoms:
Ta: 0.000 0.000 0.000 [1 per cell]
V: 0.000 0.500 0.500 [2 per cell]
Rh: 0.500 0.500 0.000 [1 per cell]

Properties
- Theoretical density: 10.884 g/cm³
- Spin magnetization: 0.00 μB per atom
- DFT formation energy: -0.1962 eV/atom
- DOS(E_F): 4.090 states/eV/cell



Ta4VRh7 after structural relaxation. Source: Alexandria, functional PBE-GGA.

abc: 12.084 4.512 9.523
angles: 90.00 127.41 90.00
Space group C2/m (No. 12)
One atom of each set of equivalent atoms:
Ta: 0.084 0.000 0.289 [4 per cell]
Ta: 0.218 0.000 0.846 [4 per cell]
V: 0.000 0.500 0.500 [2 per cell]
Rh: 0.000 0.000 0.500 [2 per cell]
Rh: 0.075 0.500 0.826 [4 per cell]
Rh: 0.141 0.000 0.069 [4 per cell]
Rh: 0.218 0.500 0.367 [4 per cell]

Properties
- Theoretical density: 12.040 g/cm³
- Spin magnetization: 0.14 μB per atom
- DFT formation energy: -0.1337 eV/atom
- DOS(E_F): 18.076 states/eV/cell



Ta3V8Rh after structural relaxation. Source: Alexandria, functional PBE-GGA.

abc: 5.0294 5.0294 24.3150
angles: 90.00 90.00 120.00
Space group R3m (No. 160, hexagonal axes)
One atom of each set of equivalent atoms:
Ta: 0.0000 0.0000 0.0000 [3 per cell]
Ta: 0.0000 0.0000 0.1242 [3 per cell]
Ta: 0.0000 0.0000 0.4987 [3 per cell]
V: 0.0000 0.0000 0.3114 [3 per cell]
V: 0.0000 0.0000 0.8128 [3 per cell]
V: 0.0000 0.5000 0.5628 [9 per cell]
V: 0.0011 0.5006 0.0605 [9 per cell]
Rh: 0.0000 0.0000 0.6230 [3 per cell]

Properties
- Theoretical density: 9.851 g/cm³
- Spin magnetization: 0.00 μB per atom
- DFT formation energy: -0.1153 eV/atom
- DOS(E_F): 25.892 states/eV/cell



Ta2V9Rh after structural relaxation. Source: Alexandria, functional PBE-GGA.

abc: 5.0237 5.0237 24.3484
angles: 90.00 90.00 120.00
Space group R-3m (No. 166, hexagonal axes)
One atom of each set of equivalent atoms:
Ta: 0.0000 0.0000 0.1448 [6 per cell]
V: 0.0000 0.0000 0.3329 [6 per cell]
V: 0.0000 0.0000 0.5000 [3 per cell]
V: 0.0025 0.5012 0.9163 [18 per cell]
Rh: 0.0000 0.0000 0.0000 [3 per cell]

Properties
- Theoretical density: 8.643 g/cm³
- Spin magnetization: 0.00 μB per atom
- DFT formation energy: 0.1835 eV/atom
- DOS(E_F): 39.259 states/eV/cell



TaVRh3 after structural relaxation. Source: Alexandria, functional PBE-GGA.

abc: 5.224 12.933 4.897
angles: 90.00 90.00 90.00
Space group Cmcm (No. 63)
One atom of each set of equivalent atoms:
Ta: 0.000 0.180 0.250 [4 per cell]
V: 0.000 0.476 0.750 [4 per cell]
Rh: 0.000 0.000 0.000 [4 per cell]
Rh: 0.249 0.347 0.250 [8 per cell]

Properties
- Theoretical density: 10.853 g/cm³
- Spin magnetization: 0.00 μB per atom
- DFT formation energy: -0.0053 eV/atom
- DOS(E_F): 16.924 states/eV/cell



Ta2VRh after structural relaxation. Source: Alexandria, functional PBE-GGA.

abc: 3.787 3.787 19.417
angles: 90.00 90.00 90.00
Space group I-42d (No. 122)
One atom of each set of equivalent atoms:
Ta: 0.246 0.250 0.125 [8 per cell]
V: 0.000 0.000 0.000 [4 per cell]
Rh: 0.000 0.000 0.500 [4 per cell]

Properties
- Theoretical density: 12.303 g/cm³
- Spin magnetization: 0.18 μB per atom
- DFT formation energy: 0.5061 eV/atom
- DOS(E_F): 22.279 states/eV/cell



TaVRh3 after structural relaxation. Source: Alexandria, functional PBE-GGA.

abc: 5.440 12.661 4.762
angles: 90.00 90.00 90.00
Space group Cmcm (No. 63)
One atom of each set of equivalent atoms:
Ta: 0.000 0.177 0.250 [4 per cell]
V: 0.000 0.500 0.000 [4 per cell]
Rh: 0.000 0.325 0.750 [4 per cell]
Rh: 0.247 0.139 0.750 [8 per cell]

Properties
- Theoretical density: 10.949 g/cm³
- Spin magnetization: 0.00 μB per atom
- DFT formation energy: -0.1237 eV/atom
- DOS(E_F): 22.589 states/eV/cell



TaV2Rh2 after structural relaxation. Source: Alexandria, functional PBE-GGA.

abc: 7.319 7.319 2.793
angles: 90.00 90.00 90.00
Space group P4/mbm (No. 127)
One atom of each set of equivalent atoms:
Ta: 0.000 0.000 0.000 [2 per cell]
V: 0.165 0.335 0.500 [4 per cell]
Rh: 0.133 0.633 0.000 [4 per cell]

Properties
- Theoretical density: 10.846 g/cm³
- Spin magnetization: 0.00 μB per atom
- DFT formation energy: -0.2110 eV/atom
- DOS(E_F): 10.729 states/eV/cell



Ta2VRh9 after structural relaxation. Source: Alexandria, functional PBE-GGA.

abc: 3.872 3.872 11.603
angles: 90.00 90.00 90.00
Space group P4/mmm (No. 123)
One atom of each set of equivalent atoms:
Ta: 0.000 0.000 0.169 [2 per cell]
V: 0.000 0.000 0.500 [1 per cell]
Rh: 0.000 0.500 0.000 [2 per cell]
Rh: 0.000 0.500 0.339 [4 per cell]
Rh: 0.500 0.500 0.169 [2 per cell]
Rh: 0.500 0.500 0.500 [1 per cell]

Properties
- Theoretical density: 12.782 g/cm³
- Spin magnetization: 0.00 μB per atom
- DFT formation energy: -0.5254 eV/atom
- DOS(E_F): 8.021 states/eV/cell



TaVRh5 after structural relaxation. Source: Alexandria, functional PBE-GGA.

abc: 3.986 3.986 6.743
angles: 90.00 90.00 90.00
Space group P4/mmm (No. 123)
One atom of each set of equivalent atoms:
Ta: 0.000 0.000 0.000 [1 per cell]
V: 0.500 0.500 0.500 [1 per cell]
Rh: 0.000 0.500 0.283 [4 per cell]
Rh: 0.500 0.500 0.000 [1 per cell]

Properties
- Theoretical density: 11.570 g/cm³
- Spin magnetization: 0.00 μB per atom
- DFT formation energy: -0.2875 eV/atom
- DOS(E_F): 7.768 states/eV/cell



TaV2Rh after structural relaxation. Source: Alexandria, functional PBE-GGA.

abc: 3.609 3.609 19.611
angles: 90.00 90.00 90.00
Space group I-42d (No. 122)
One atom of each set of equivalent atoms:
Ta: 0.000 0.000 0.000 [4 per cell]
V: 0.243 0.250 0.125 [8 per cell]
Rh: 0.000 0.000 0.500 [4 per cell]

Properties
- Theoretical density: 10.030 g/cm³
- Spin magnetization: 0.00 μB per atom
- DFT formation energy: 0.3056 eV/atom
- DOS(E_F): 17.505 states/eV/cell



Ta2VRh after structural relaxation. Source: Alexandria, functional PBE-GGA.

abc: 3.173 3.173 6.338
angles: 90.00 90.00 90.00
Space group P4/mmm (No. 123)
One atom of each set of equivalent atoms:
Ta: 0.000 0.000 0.241 [2 per cell]
V: 0.500 0.500 0.000 [1 per cell]
Rh: 0.500 0.500 0.500 [1 per cell]

Properties
- Theoretical density: 13.426 g/cm³
- Spin magnetization: 0.00 μB per atom
- DFT formation energy: -0.2989 eV/atom
- DOS(E_F): 3.387 states/eV/cell